Here is an optimized crystal structure of ScBe4Si from Alexandria. Energies are from PBE.

It has space group F-43m (No. 216), with a = 6.4952 Å, b = 6.4952 Å, c = 6.4952 Å, α = 90.00°, β = 90.00° and γ = 90.00°. The distinct sites, in fractional coordinates, are Sc at (0.0000, 0.0000, 0.0000), Be at (0.1273, 0.1273, 0.3727) and Si at (0.2500, 0.2500, 0.7500).

The value obtained for the mass density is 2.6 Mg/m³. For the total energy, the calculation gives -4.3158 eV per atom. Its volume is 274.0 Å³/cell. For the density of states at the Fermi level, the calculation gives 16.31 states/eV/cell.